Entry 1:
# PBE MgTiHgH2, optimized geometry
data_MgTiHgH2
_chemical_formula_sum 'Mg1 Ti1 Hg1 H2'
_space_group_name_H-M_alt 'P 4/m m m'
_space_group_IT_number 123
_space_group_name_Hall '-P 4 2'
_cell_length_a 3.912
_cell_length_b 3.912
_cell_length_c 5.606
_cell_angle_alpha 90.00
_cell_angle_beta 90.00
_cell_angle_gamma 90.00
loop_
_atom_site_label
_atom_site_fract_x
_atom_site_fract_y
_atom_site_fract_z
Mg1 0.000 0.000 0.000
Ti1 0.500 0.500 0.000
Hg1 0.000 0.000 0.500
H1 0.000 0.500 0.500
# Magnetic moment in μB per formula unit: 2.127
# Uncorrected energy in eV per atom: -2.426

Entry 2:
# PBE Mg2TiHgH, optimized geometry
data_Mg2TiHgH
_chemical_formula_sum 'Mg2 Ti1 Hg1 H1'
_space_group_name_H-M_alt 'P 4/m m m'
_space_group_IT_number 123
_space_group_name_Hall '-P 4 2'
_cell_length_a 4.408
_cell_length_b 4.408
_cell_length_c 4.005
_cell_angle_alpha 90.00
_cell_angle_beta 90.00
_cell_angle_gamma 90.00
loop_
_atom_site_label
_atom_site_fract_x
_atom_site_fract_y
_atom_site_fract_z
Mg1 0.000 0.500 0.000
Ti1 0.000 0.000 0.500
Hg1 0.500 0.500 0.500
H1 0.000 0.000 0.000
# Magnetic moment in μB per formula unit: 0.447
# Uncorrected energy in eV per atom: -3.058

Entry 3:
# PBE Mg2ZnHgH, optimized geometry
data_Mg2ZnHgH
_chemical_formula_sum 'Mg2 Zn1 Hg1 H1'
_space_group_name_H-M_alt 'P 4/m m m'
_space_group_IT_number 123
_space_group_name_Hall '-P 4 2'
_cell_length_a 4.573
_cell_length_b 4.573
_cell_length_c 3.816
_cell_angle_alpha 90.00
_cell_angle_beta 90.00
_cell_angle_gamma 90.00
loop_
_atom_site_label
_atom_site_fract_x
_atom_site_fract_y
_atom_site_fract_z
Mg1 0.000 0.500 0.000
Zn1 0.000 0.000 0.500
Hg1 0.500 0.500 0.500
H1 0.000 0.000 0.000
# Magnetic moment in μB per formula unit: 0.000
# Uncorrected energy in eV per atom: -1.651

Entry 4:
# PBE MgZr2HgH, optimized geometry
data_MgZr2HgH
_chemical_formula_sum 'Mg1 Zr2 Hg1 H1'
_space_group_name_H-M_alt 'P 4/m m m'
_space_group_IT_number 123
_space_group_name_Hall '-P 4 2'
_cell_length_a 4.353
_cell_length_b 4.353
_cell_length_c 4.574
_cell_angle_alpha 90.00
_cell_angle_beta 90.00
_cell_angle_gamma 90.00
loop_
_atom_site_label
_atom_site_fract_x
_atom_site_fract_y
_atom_site_fract_z
Mg1 0.000 0.000 0.000
Zr1 0.000 0.500 0.500
Hg1 0.500 0.500 0.000
H1 0.000 0.000 0.500
# Magnetic moment in μB per formula unit: 0.000
# Polymorph energy (0 for the lowest one) in meV per atom: 0

Entry 5:
# PBE MnHgH2, optimized geometry
data_MnHgH2
_chemical_formula_sum 'Mn4 Hg4 H8'
_space_group_name_H-M_alt 'I -4 2 d'
_space_group_IT_number 122
_space_group_name_Hall 'I -4 2bw'
_cell_length_a 4.703
_cell_length_b 4.703
_cell_length_c 8.610
_cell_angle_alpha 90.00
_cell_angle_beta 90.00
_cell_angle_gamma 90.00
loop_
_atom_site_label
_atom_site_fract_x
_atom_site_fract_y
_atom_site_fract_z
Mn1 0.000 0.000 0.000
Hg1 0.000 0.000 0.500
H1 0.107 0.250 0.125
# Magnetic moment in μB per formula unit: 3.340
# Polymorph energy (0 for the lowest one) in meV per atom: 0

Entry 6:
# PBE Mn2HgH2, optimized geometry
data_Mn2HgH2
_chemical_formula_sum 'Mn4 Hg2 H4'
_space_group_name_H-M_alt 'I 4/m m m'
_space_group_IT_number 139
_space_group_name_Hall '-I 4 2'
_cell_length_a 3.276
_cell_length_b 3.276
_cell_length_c 9.941
_cell_angle_alpha 90.00
_cell_angle_beta 90.00
_cell_angle_gamma 90.00
loop_
_atom_site_label
_atom_site_fract_x
_atom_site_fract_y
_atom_site_fract_z
Mn1 0.000 0.000 0.168
Hg1 0.000 0.000 0.500
H1 0.000 0.500 0.250
# Magnetic moment in μB per formula unit: 6.384
# Uncorrected energy in eV per atom: -4.943